A plane-wave DFT calculation with GGA-PBE was carried out for a geometry-optimized KYAgSe3 structure.

Summary:
Calculated total energy   -4.60 eV/atom
Space-group type   Pnma, No. 62

a b c (Å): 14.9615 4.1469 11.0804
angles (deg): 90.00 90.00 90.00
Closest atoms and distances in Å follow each position.
Sites, in units of the cell vectors:
K  0.2338  0.2500  0.0422  7 Se 3.30-3.61
K  0.2662  0.7500  0.5422  7 Se 3.30-3.61
K  0.7338  0.2500  0.4578  7 Se 3.30-3.61
K  0.7662  0.7500  0.9578  7 Se 3.30-3.61
Y  0.0242  0.2500  0.3421  6 Se 2.85-2.94
Y  0.4758  0.7500  0.8421  6 Se 2.85-2.94
Y  0.5242  0.2500  0.1579  6 Se 2.85-2.94
Y  0.9758  0.7500  0.6579  6 Se 2.85-2.94
Ag  0.0171  0.7500  0.0953  4 Se 2.64-2.72
Ag  0.4829  0.2500  0.5953  4 Se 2.64-2.72
Ag  0.5171  0.7500  0.4047  4 Se 2.64-2.72
Ag  0.9829  0.2500  0.9047  4 Se 2.64-2.72
Se  0.0919  0.7500  0.8719  3 Ag 2.66-2.72, 1 Y 2.94
Se  0.0968  0.2500  0.5798  3 Y 2.85-2.89
Se  0.1435  0.7500  0.2613  1 Ag 2.64, 2 Y 2.88
Se  0.3565  0.2500  0.7613  1 Ag 2.64, 2 Y 2.88
Se  0.4032  0.7500  0.0798  3 Y 2.85-2.89
Se  0.4081  0.2500  0.3719  3 Ag 2.66-2.72, 1 Y 2.94
Se  0.5919  0.7500  0.6281  3 Ag 2.66-2.72, 1 Y 2.94
Se  0.5968  0.2500  0.9202  3 Y 2.85-2.89
Se  0.6435  0.7500  0.2387  1 Ag 2.64, 2 Y 2.88
Se  0.8565  0.2500  0.7387  1 Ag 2.64, 2 Y 2.88
Se  0.9032  0.7500  0.4202  3 Y 2.85-2.89
Se  0.9081  0.2500  0.1281  3 Ag 2.66-2.72, 1 Y 2.94